First-principles (GGA-PBE) data for a geometry-optimized Ca2AlRu structure, as listed in the Alexandria database.

Geometry as CIF:
```
data_Ca2AlRu
_cell_length_a 7.091
_cell_length_b 7.091
_cell_length_c 7.091
_cell_angle_alpha 90.00
_cell_angle_beta 90.00
_cell_angle_gamma 90.00
_space_group_name_H-M_alt 'F m -3 m'
_space_group_IT_number 225
_space_group_name_Hall '-F 4 2 3'
loop_
_atom_site_label
_atom_site_type_symbol
_atom_site_fract_x
_atom_site_fract_y
_atom_site_fract_z
Ca1 Ca 0.250 0.250 0.250
Al1 Al 0.000 0.000 0.000
Ru1 Ru 0.000 0.000 0.500
```

## Properties
The calculation puts the density of states at the Fermi level at 3.42 states/eV/f.u. For the energy of formation from the pure elements, the calculation gives 14.9 kJ/mol of atoms. Its calculated density is 3.9 Mg/m³. The value obtained for the energy above the most stable polymorph in this dataset is 358 meV/atom.